## AgSe (SCAN)

Data for a crystal of AgSe relaxed with PBEsol.

Properties
* mass density: 6.45 g cm⁻³
* total DFT energy (no corrections): -25.706 eV per atom
* crystal system: trigonal
* uncorrected formation energy: 17 meV per atom
* M_tot: 0.0 μB/f.u.

Lattice parameters (Å, degrees): 4.3545 4.3545 17.5663 90.00 90.00 120.00
Closest atoms and distances in Å follow each position.
Space group R-3m (No. 166, hexagonal axes)
Unique sites:
Ag (0.0000, 0.0000, 0.2327) [6 per cell]  4 Se 2.56-2.81
Se (0.0000, 0.0000, 0.0730) [6 per cell]  4 Ag 2.56-2.81, 1 Se 2.56


## Na2SiC (SCAN)

Data for a crystal of Na2SiC relaxed with PBEsol.

Properties
* mass density: 2.19 g cm⁻³
* total DFT energy (no corrections): -5.721 eV per atom
* crystal system: cubic
* uncorrected formation energy: 1416 meV per atom
* M_tot: 0.0 μB/f.u.

Lattice parameters (Å, degrees): 6.3917 6.3917 6.3917 90.00 90.00 90.00
Closest atoms and distances in Å follow each position.
Space group Fm-3m (No. 225)
Unique sites:
Na (0.2500, 0.2500, 0.2500) [8 per cell]  4 C 2.77, 4 Si 2.77
Si (0.0000, 0.0000, 0.0000) [4 per cell]  8 Na 2.77
C (0.0000, 0.0000, 0.5000) [4 per cell]  8 Na 2.77


## CuRu2W (SCAN)

Data for a crystal of CuRu2W relaxed with PBEsol.

Properties
* mass density: 13.45 g cm⁻³
* total DFT energy (no corrections): -38.193 eV per atom
* ΔH_f (0 K): 170 kJ/mol of formula units
* crystal system: orthorhombic
* M_tot: 1.8 μB/f.u.

Lattice parameters (Å, degrees): 2.8436 4.3961 8.8766 90.00 90.00 90.00
Closest atoms and distances in Å follow each position.
Space group Cmm2 (No. 35)
Unique sites:
Cu (0.0000, 0.0000, 0.0000) [2 per cell]  2 Ru 2.60, 6 Cu 2.62-2.84, 2 W 2.64
Ru (0.0000, 0.0000, 0.5032) [2 per cell]  8 Ru 2.62-2.84, 2 W 2.65
Ru (0.0000, 0.5000, 0.7546) [2 per cell]  2 Cu 2.60, 8 Ru 2.62-2.84
W (0.0000, 0.5000, 0.2508) [2 per cell]  6 W 2.62-2.84, 2 Cu 2.64, 2 Ru 2.65


## CaZrAu2 (SCAN)

Data for a crystal of CaZrAu2 relaxed with PBEsol.

Properties
* mass density: 10.75 g cm⁻³
* total DFT energy (no corrections): -45.458 eV per atom
* ΔH_f (0 K): -305 kJ/mol of formula units
* crystal system: orthorhombic
* M_tot: 0.3 μB/f.u.

Lattice parameters (Å, degrees): 3.1371 5.0559 5.1158 90.00 90.00 90.00
Closest atoms and distances in Å follow each position.
Space group Pmm2 (No. 25)
Unique sites:
Ca (0.0000, 0.0000, 0.0000) [1 per cell]  8 Au 2.96-3.04, 2 Ca 3.14
Zr (0.0000, 0.5000, 0.5363) [1 per cell]  8 Au 2.95-3.05, 2 Zr 3.14
Au (0.5000, 0.0000, 0.4914) [1 per cell]  4 Ca 2.96-3.04, 4 Zr 2.98, 2 Au 3.14
Au (0.5000, 0.5000, 0.0478) [1 per cell]  4 Zr 2.95-3.05, 4 Ca 2.99, 2 Au 3.14


## CsBaAs2N (SCAN)

Data for a crystal of CsBaAs2N relaxed with PBEsol.

Properties
* mass density: 3.53 g cm⁻³
* total DFT energy (no corrections): -23.697 eV per atom
* crystal system: tetragonal
* uncorrected formation energy: 1709 meV per atom
* M_tot: 2.9 μB/f.u.

Lattice parameters (Å, degrees): 5.6115 5.6115 6.4778 90.00 90.00 90.00
Closest atoms and distances in Å follow each position.
Space group P4/mmm (No. 123)
Unique sites:
Cs (0.0000, 0.0000, 0.0000) [1 per cell]  4 As 2.81
Ba (0.0000, 0.0000, 0.5000) [1 per cell]  2 Cs 3.24
As (0.0000, 0.5000, 0.0000) [2 per cell]  2 Cs 2.81
N (0.5000, 0.5000, 0.5000) [1 per cell]  4 Ba 3.97, 8 As 4.29


## FeCuTc2 (SCAN)

Data for a crystal of FeCuTc2 relaxed with PBEsol.

Properties
* mass density: 10.29 g cm⁻³
* total DFT energy (no corrections): -25.626 eV per atom
* ΔH_f (0 K): 91 kJ/mol of formula units
* crystal system: cubic
* M_tot: 3.2 μB/f.u.

Lattice parameters (Å, degrees): 5.8819 5.8819 5.8819 90.00 90.00 90.00
Closest atoms and distances in Å follow each position.
Space group F-43m (No. 216)
Unique sites:
Fe (0.0000, 0.0000, 0.0000) [4 per cell]  4 Tc 2.55, 4 Cu 2.55
Cu (0.2500, 0.2500, 0.2500) [4 per cell]  4 Fe 2.55, 4 Tc 2.55
Tc (0.0000, 0.0000, 0.5000) [4 per cell]  4 Tc 2.55, 4 Cu 2.55
Tc (0.2500, 0.2500, 0.7500) [4 per cell]  4 Fe 2.55, 4 Tc 2.55


The highest total DFT energy (no corrections) belongs to which entry? Na2SiC


The highest total DFT energy (no corrections) belongs to which entry? Na2SiC